Record 1
VASP calculation (GGA-PBE) on a relaxed Np3TiTl4Se8 crystal.

Output
Raw formation energy, meV/atom: -875
E_tot, eV per atom: -6.128

Cell lengths 8.1699, 9.1491, 8.1710 Å; angles 116.55, 120.00, 90.00 degrees
Site moments in Bohr magnetons follow the coordinates.
Fractional coordinates of all 16 atoms:
Np1 0.5000 0.5000 0.0000  3.87
Np2 0.5000 0.5000 0.5000  3.87
Np3 0.0000 0.5000 0.5000  3.87
Ti1 0.0000 0.5000 0.0000  1.06
Tl1 0.5000 0.0000 0.0000  0.01
Tl2 0.5000 0.0000 0.5000  0.00
Tl3 0.0000 0.0000 0.0000  0.00
Tl4 0.0000 0.0000 0.5000  0.00
Se1 0.2235 0.6980 0.9746  -0.07
Se2 0.2235 0.6981 0.4470  -0.07
Se3 0.2637 0.2914 0.5275  -0.08
Se4 0.7511 0.6980 0.9746  -0.07
Se5 0.2489 0.3020 0.0254  -0.07
Se6 0.7363 0.7086 0.4725  -0.08
Se7 0.7765 0.3019 0.5530  -0.07
Se8 0.7765 0.3020 0.0254  -0.07

---

Record 2
VASP calculation (GGA-PBE) on a relaxed ZrScFe2Os crystal.

Output
E_tot, eV per atom: -7.544
Energy of formation, meV per atom: 1063

Cell lengths 4.3131, 4.8171, 4.3131 Å; angles 90.00, 90.00, 90.00 degrees
Site moments in Bohr magnetons follow the coordinates.
Fractional coordinates of all 5 atoms:
Sc1 0.0000 0.0000 0.0000  -0.28
Os1 0.0000 0.5000 0.0000  0.16
Fe1 0.0000 0.0000 0.5000  1.93
Fe2 0.5000 0.0000 0.0000  2.06
Zr1 0.5000 0.5000 0.5000  -0.31

---

Record 3
VASP calculation (GGA-PBE) on a relaxed La2Dy2ErMg5 crystal.

Output
E_tot, eV per atom: -3.150
Energy of formation, meV per atom: 9

Cell lengths 5.1033, 10.6293, 10.6293 Å; angles 90.00, 90.00, 90.00 degrees
Fractional coordinates of all 20 atoms:
La1 0.0000 0.6755 0.1755
La2 0.0000 0.3245 0.8245
La3 0.0000 0.1755 0.3245
La4 0.0000 0.8245 0.6755
Dy1 0.0000 0.1212 0.6212
Dy2 0.0000 0.8788 0.3788
Dy3 0.0000 0.6212 0.8788
Dy4 0.0000 0.3788 0.1212
Er1 0.0000 0.0000 0.0000
Er2 0.0000 0.5000 0.5000
Mg1 0.5000 0.1975 0.0699
Mg2 0.5000 0.8025 0.9301
Mg3 0.5000 0.0699 0.8025
Mg4 0.5000 0.6975 0.4301
Mg5 0.5000 0.9301 0.1975
Mg6 0.5000 0.3025 0.5699
Mg7 0.5000 0.5699 0.6975
Mg8 0.5000 0.4301 0.3025
Mg9 0.5000 0.5000 0.0000
Mg10 0.5000 0.0000 0.5000

---

Record 4
VASP calculation (GGA-PBE) on a relaxed Dy2GaTcC crystal.

Output
E_tot, eV per atom: -6.765
Energy of formation, meV per atom: -400

Cell lengths 3.9805, 4.9161, 4.9161 Å; angles 90.00, 90.00, 90.00 degrees
Fractional coordinates of all 5 atoms:
Dy1 0.0000 0.0000 0.5000
Dy2 0.0000 0.5000 0.0000
Ga1 0.5000 0.5000 0.5000
Tc1 0.5000 0.0000 0.0000
C1 0.0000 0.0000 0.0000

---

Record 5
VASP calculation (GGA-PBE) on a relaxed Li2PmCu2Sb2 crystal.

Output
Raw formation energy, meV/atom: -568
E_tot, eV per atom: -4.141

Cell lengths 4.4271, 4.4271, 8.8123 Å; angles 75.45, 75.45, 60.00 degrees
Fractional coordinates of all 7 atoms:
Li1 0.1367 0.1367 0.5898
Li2 0.8633 0.8633 0.4102
Pm1 0.0000 0.0000 0.0000
Cu1 0.5907 0.5907 0.2280
Cu2 0.4093 0.4093 0.7720
Sb1 0.7498 0.7498 0.7505
Sb2 0.2502 0.2502 0.2495

---

Record 6
VASP calculation (GGA-PBE) on a relaxed BeRhBr2 crystal.

Output
Raw formation energy, meV/atom: -104
E_tot, eV per atom: -3.710
Energy relative to the lowest polymorph listed for this composition, meV per atom: 301

Cell lengths 3.6847, 4.0587, 6.5468 Å; angles 78.81, 90.00, 90.00 degrees
Site moments in Bohr magnetons follow the coordinates.
Fractional coordinates of all 4 atoms:
Be1 0.5000 0.8198 0.6412  -0.02
Rh1 0.0000 0.5297 0.6114  0.79
Br1 0.0000 0.9103 0.8704  0.09
Br2 0.5000 0.2402 0.3770  0.04